Computed, not measured: a geometry-optimized HoZrBi2O6 structure at the GGA-PBE level of DFT.

Cell: 5.923 5.925 5.927 Å, 61.32 61.38 61.37°
Fractional coordinates of all 10 atoms:
Ho: 0.000 0.000 0.000
Zr: 0.517 0.517 0.517
Bi: 0.290 0.291 0.291
Bi: 0.755 0.756 0.754
O: 0.160 0.363 0.701
O: 0.247 0.852 0.638
O: 0.363 0.702 0.160
O: 0.637 0.245 0.853
O: 0.702 0.160 0.363
O: 0.853 0.637 0.248

Summary:
- SG = P1
- mass density (g/cm3) = 8.438
- formation energy from raw total energies (meV/atom) = -2250

=====

Computed, not measured: a geometry-optimized LiSiB structure at the GGA-PBE level of DFT.

Cell: 3.435 4.476 5.294 Å, 94.00 90.99 92.34°
Fractional coordinates of all 6 atoms:
Li: 0.000 0.000 0.000
Li: 0.475 0.516 0.146
Si: 0.020 0.895 0.464
Si: 0.911 0.476 0.712
B: 0.393 0.288 0.552
B: 0.516 0.027 0.327

Summary:
- SG = P1
- mass density (g/cm3) = 1.877
- formation energy from raw total energies (meV/atom) = 99

=====

Computed, not measured: a geometry-optimized TlRh2Br structure at the GGA-PBE level of DFT.

Cell: 5.742 5.742 5.742 Å, 140.65 140.65 56.87°
Fractional coordinates of all 4 atoms:
Tl: 0.000 0.000 0.000
Rh: 0.500 0.500 0.000
Rh: 0.750 0.250 0.500
Br: 0.250 0.750 0.500

Summary:
- SG = I-4m2
- mass density (g/cm3) = 10.779
- formation energy from raw total energies (meV/atom) = 509

=====

Computed, not measured: a geometry-optimized LiRe2P structure at the GGA-PBE level of DFT.

Cell: 4.942 4.942 2.703 Å, 104.08 104.08 113.42°
Fractional coordinates of all 4 atoms:
Li: 0.000 0.000 0.000
Re: 0.000 0.500 0.500
Re: 0.500 0.000 0.500
P: 0.500 0.500 0.000

Summary:
- SG = C2/m
- energy relative to the elements (eV per formula unit) = 1.29
- mass density (g/cm3) = 12.550

=====

Computed, not measured: a geometry-optimized Fe2CoAg structure at the GGA-PBE level of DFT.

Cell: 4.520 4.520 4.630 Å, 101.13 101.13 34.80°
Fractional coordinates of all 4 atoms:
Fe: 0.000 0.000 0.000
Fe: 0.746 0.746 0.238
Co: 0.485 0.485 0.451
Ag: 0.241 0.241 0.731

Summary:
- SG = Cm
- energy relative to the elements (eV per formula unit) = 1.26
- mass density (g/cm3) = 8.744

=====

Computed, not measured: a geometry-optimized Ac5Tl2PdN structure at the GGA-PBE level of DFT.

Cell: 4.292 14.824 10.255 Å, 90.00 102.03 90.00°
Fractional coordinates of all 18 atoms:
Ac: 0.009 0.000 0.019
Ac: 0.164 0.768 0.328
Ac: 0.165 0.395 0.331
Ac: 0.209 0.104 0.418
Ac: 0.475 0.773 0.951
Ac: 0.525 0.273 0.049
Ac: 0.791 0.604 0.582
Ac: 0.835 0.895 0.669
Ac: 0.836 0.268 0.672
Ac: 0.991 0.500 0.981
Tl: 0.360 0.445 0.720
Tl: 0.386 0.091 0.771
Tl: 0.614 0.591 0.229
Tl: 0.640 0.945 0.280
Pd: 0.315 0.746 0.630
Pd: 0.685 0.246 0.370
N: 0.043 0.356 0.086
N: 0.957 0.856 0.914

Summary:
- SG = P2_1
- mass density (g/cm3) = 8.662
- formation energy from raw total energies (meV/atom) = -582